1.
# YTa3Mn, relaxed, DFT PBE
data_YTa3Mn
_chemical_formula_sum 'Y1 Ta3 Mn1'
_symmetry_space_group_name_H-M 'P m -3 m'
_symmetry_Int_Tables_number 221
_symmetry_space_group_name_Hall '-P 4 2 3'
_cell_length_a 4.710
_cell_length_b 4.710
_cell_length_c 4.710
_cell_angle_alpha 90.00
_cell_angle_beta 90.00
_cell_angle_gamma 90.00
loop_
_atom_site_label
_atom_site_type_symbol
_atom_site_fract_x
_atom_site_fract_y
_atom_site_fract_z
_atom_site_occupancy
Y1 Y 0.000 0.000 0.000 1
Ta1 Ta 0.000 0.500 0.500 1
Mn1 Mn 0.500 0.500 0.500 1
# M_tot, μB/f.u.: 0.00

***

2.
# YTa3Mn, relaxed, DFT PBE
data_YTa3Mn
_chemical_formula_sum 'Y1 Ta3 Mn1'
_symmetry_space_group_name_H-M 'P m -3 m'
_symmetry_Int_Tables_number 221
_symmetry_space_group_name_Hall '-P 4 2 3'
_cell_length_a 4.855
_cell_length_b 4.855
_cell_length_c 4.855
_cell_angle_alpha 90.00
_cell_angle_beta 90.00
_cell_angle_gamma 90.00
loop_
_atom_site_label
_atom_site_type_symbol
_atom_site_fract_x
_atom_site_fract_y
_atom_site_fract_z
_atom_site_occupancy
Y1 Y 0.000 0.000 0.000 1
Ta1 Ta 0.000 0.000 0.500 1
Mn1 Mn 0.500 0.500 0.500 1
# M_tot, μB/f.u.: 0.24

***

Most stable structure, least stable structure: 1, 2.

***

1.
# TaMnZn2, relaxed, DFT PBE
data_TaMnZn2
_chemical_formula_sum 'Ta1 Mn1 Zn2'
_symmetry_space_group_name_H-M 'P 1 2/m 1'
_symmetry_Int_Tables_number 10
_symmetry_space_group_name_Hall '-P 2y'
_cell_length_a 2.705
_cell_length_b 4.276
_cell_length_c 5.218
_cell_angle_alpha 90.00
_cell_angle_beta 102.19
_cell_angle_gamma 90.00
loop_
_atom_site_label
_atom_site_type_symbol
_atom_site_fract_x
_atom_site_fract_y
_atom_site_fract_z
_atom_site_occupancy
Ta1 Ta 0.000 0.000 0.000 1
Mn1 Mn 0.000 0.000 0.500 1
Zn1 Zn 0.434 0.500 0.737 1
# M_tot, μB/f.u.: 1.85

***

2.
# TaMnZn2, relaxed, DFT PBE
data_TaMnZn2
_chemical_formula_sum 'Ta4 Mn4 Zn8'
_symmetry_space_group_name_H-M 'I -4 2 d'
_symmetry_Int_Tables_number 122
_symmetry_space_group_name_Hall 'I -4 2bw'
_cell_length_a 7.050
_cell_length_b 7.050
_cell_length_c 5.119
_cell_angle_alpha 90.00
_cell_angle_beta 90.00
_cell_angle_gamma 90.00
loop_
_atom_site_label
_atom_site_type_symbol
_atom_site_fract_x
_atom_site_fract_y
_atom_site_fract_z
_atom_site_occupancy
Ta1 Ta 0.000 0.000 0.000 1
Mn1 Mn 0.000 0.000 0.500 1
Zn1 Zn 0.228 0.250 0.625 1
# M_tot, μB/f.u.: 2.25

***

3.
# TaMnZn2, relaxed, DFT PBE
data_TaMnZn2
_chemical_formula_sum 'Ta2 Mn2 Zn4'
_symmetry_space_group_name_H-M 'C m m m'
_symmetry_Int_Tables_number 65
_symmetry_space_group_name_Hall '-C 2 2'
_cell_length_a 5.320
_cell_length_b 8.237
_cell_length_c 2.733
_cell_angle_alpha 90.00
_cell_angle_beta 90.00
_cell_angle_gamma 90.00
loop_
_atom_site_label
_atom_site_type_symbol
_atom_site_fract_x
_atom_site_fract_y
_atom_site_fract_z
_atom_site_occupancy
Ta1 Ta 0.000 0.000 0.000 1
Mn1 Mn 0.000 0.500 0.000 1
Zn1 Zn 0.250 0.250 0.500 1
# M_tot, μB/f.u.: 2.17

***

4.
# TaMnZn2, relaxed, DFT PBE
data_TaMnZn2
_chemical_formula_sum 'Ta4 Mn4 Zn8'
_symmetry_space_group_name_H-M 'F -4 3 m'
_symmetry_Int_Tables_number 216
_symmetry_space_group_name_Hall 'F -4 2 3'
_cell_length_a 6.169
_cell_length_b 6.169
_cell_length_c 6.169
_cell_angle_alpha 90.00
_cell_angle_beta 90.00
_cell_angle_gamma 90.00
loop_
_atom_site_label
_atom_site_type_symbol
_atom_site_fract_x
_atom_site_fract_y
_atom_site_fract_z
_atom_site_occupancy
Ta1 Ta 0.000 0.000 0.000 1
Mn1 Mn 0.250 0.250 0.250 1
Zn1 Zn 0.000 0.000 0.500 1
Zn2 Zn 0.250 0.250 0.750 1
# M_tot, μB/f.u.: 1.63

***

Most stable structure, least stable structure: 1, 2.

***

1.
# TaMnZn2, relaxed, DFT PBE
data_TaMnZn2
_chemical_formula_sum 'Ta1 Mn1 Zn2'
_symmetry_space_group_name_H-M 'P 1 m 1'
_symmetry_Int_Tables_number 6
_symmetry_space_group_name_Hall 'P -2y'
_cell_length_a 2.767
_cell_length_b 4.202
_cell_length_c 5.106
_cell_angle_alpha 90.00
_cell_angle_beta 97.00
_cell_angle_gamma 90.00
loop_
_atom_site_label
_atom_site_type_symbol
_atom_site_fract_x
_atom_site_fract_y
_atom_site_fract_z
_atom_site_occupancy
Ta1 Ta 0.000 0.000 0.000 1
Mn1 Mn 0.211 0.500 0.734 1
Zn1 Zn 0.571 0.500 0.243 1
Zn2 Zn 0.584 0.000 0.508 1
# M_tot, μB/f.u.: 1.40

***

2.
# TaMnZn2, relaxed, DFT PBE
data_TaMnZn2
_chemical_formula_sum 'Ta1 Mn1 Zn2'
_symmetry_space_group_name_H-M 'P 4 m m'
_symmetry_Int_Tables_number 99
_symmetry_space_group_name_Hall 'P 4 -2'
_cell_length_a 3.158
_cell_length_b 3.158
_cell_length_c 5.917
_cell_angle_alpha 90.00
_cell_angle_beta 90.00
_cell_angle_gamma 90.00
loop_
_atom_site_label
_atom_site_type_symbol
_atom_site_fract_x
_atom_site_fract_y
_atom_site_fract_z
_atom_site_occupancy
Ta1 Ta 0.000 0.000 0.000 1
Mn1 Mn 0.500 0.500 0.808 1
Zn1 Zn 0.000 0.000 0.534 1
Zn2 Zn 0.500 0.500 0.302 1
# M_tot, μB/f.u.: 0.00

***

3.
# TaMnZn2, relaxed, DFT PBE
data_TaMnZn2
_chemical_formula_sum 'Ta2 Mn2 Zn4'
_symmetry_space_group_name_H-M 'I m m 2'
_symmetry_Int_Tables_number 44
_symmetry_space_group_name_Hall 'I 2 -2'
_cell_length_a 3.137
_cell_length_b 4.485
_cell_length_c 8.400
_cell_angle_alpha 90.00
_cell_angle_beta 90.00
_cell_angle_gamma 90.00
loop_
_atom_site_label
_atom_site_type_symbol
_atom_site_fract_x
_atom_site_fract_y
_atom_site_fract_z
_atom_site_occupancy
Ta1 Ta 0.000 0.000 0.000 1
Mn1 Mn 0.000 0.500 0.732 1
Zn1 Zn 0.000 0.000 0.484 1
Zn2 Zn 0.000 0.500 0.228 1
# M_tot, μB/f.u.: 1.39

***

Most stable structure, least stable structure: 2, 3.

***

1.
# TaMnZn2, relaxed, DFT PBE
data_TaMnZn2
_chemical_formula_sum 'Ta2 Mn2 Zn4'
_symmetry_space_group_name_H-M 'C 1 m 1'
_symmetry_Int_Tables_number 8
_symmetry_space_group_name_Hall 'C -2y'
_cell_length_a 9.550
_cell_length_b 2.829
_cell_length_c 4.767
_cell_angle_alpha 90.00
_cell_angle_beta 110.69
_cell_angle_gamma 90.00
loop_
_atom_site_label
_atom_site_type_symbol
_atom_site_fract_x
_atom_site_fract_y
_atom_site_fract_z
_atom_site_occupancy
Ta1 Ta 0.000 0.000 0.000 1
Mn1 Mn 0.251 0.500 0.135 1
Zn1 Zn 0.233 0.000 0.623 1
Zn2 Zn 0.485 0.000 0.492 1
# M_tot, μB/f.u.: 2.43

***

2.
# TaMnZn2, relaxed, DFT PBE
data_TaMnZn2
_chemical_formula_sum 'Ta3 Mn3 Zn6'
_symmetry_space_group_name_H-M 'R 3 m'
_symmetry_Int_Tables_number 160
_symmetry_space_group_name_Hall 'R 3 -2"'
_cell_length_a 2.8429
_cell_length_b 2.8429
_cell_length_c 26.9124
_cell_angle_alpha 90.00
_cell_angle_beta 90.00
_cell_angle_gamma 120.00
loop_
_atom_site_label
_atom_site_type_symbol
_atom_site_fract_x
_atom_site_fract_y
_atom_site_fract_z
_atom_site_occupancy
Ta1 Ta 0.0000 0.0000 0.0000 1
Mn1 Mn 0.0000 0.0000 0.2509 1
Zn1 Zn 0.0000 0.0000 0.5049 1
Zn2 Zn 0.0000 0.0000 0.7547 1
# M_tot, μB/f.u.: 2.91

***

Most stable structure, least stable structure: 1, 2.